(1)
VASP calculation (GGA-PBE) on an optimized crystal structure of YTc2Sb.

Geometry as CIF:
```
data_YTc2Sb
_chemical_formula_sum 'Y1 Tc2 Sb1'
_space_group_name_H-M_alt 'P 1'
_space_group_IT_number 1
_space_group_name_Hall 'P 1'
_cell_length_a 4.766
_cell_length_b 4.766
_cell_length_c 4.766
_cell_angle_alpha 60.00
_cell_angle_beta 60.00
_cell_angle_gamma 60.00
loop_
_atom_site_label
_atom_site_type_symbol
_atom_site_fract_x
_atom_site_fract_y
_atom_site_fract_z
_atom_site_occupancy
Sb1 Sb 0.500 0.500 0.500 1
Tc1 Tc 0.000 0.000 0.000 1
Tc2 Tc 0.750 0.750 0.750 1
Y1 Y 0.250 0.250 0.250 1
```

- energy relative to the elements, uncorrected (eV/atom) = 0.255



(2)
VASP calculation (GGA-PBE) on an optimized crystal structure of MnSnSeN2.

Geometry as CIF:
```
data_MnSnSeN2
_chemical_formula_sum 'Mn1 Sn1 Se1 N2'
_space_group_name_H-M_alt 'P 1'
_space_group_IT_number 1
_space_group_name_Hall 'P 1'
_cell_length_a 4.203
_cell_length_b 4.203
_cell_length_c 5.523
_cell_angle_alpha 90.00
_cell_angle_beta 90.00
_cell_angle_gamma 90.00
loop_
_atom_site_label
_atom_site_type_symbol
_atom_site_fract_x
_atom_site_fract_y
_atom_site_fract_z
_atom_site_occupancy
Mn1 Mn 0.500 0.500 0.500 1
Sn1 Sn 0.000 0.000 0.000 1
Se1 Se 0.000 0.000 0.500 1
N1 N 0.000 0.500 0.000 1
N2 N 0.500 0.000 0.000 1
```

- ΔE to the lowest computed polymorph (eV/atom) = 0.607
- energy relative to the elements, uncorrected (eV/atom) = 1.216



(3)
VASP calculation (GGA-PBE) on an optimized crystal structure of GeBr3F.

Geometry as CIF:
```
data_GeBr3F
_chemical_formula_sum 'Ge1 Br3 F1'
_space_group_name_H-M_alt 'P 1'
_space_group_IT_number 1
_space_group_name_Hall 'P 1'
_cell_length_a 4.963
_cell_length_b 4.963
_cell_length_c 4.963
_cell_angle_alpha 90.00
_cell_angle_beta 90.00
_cell_angle_gamma 90.00
loop_
_atom_site_label
_atom_site_type_symbol
_atom_site_fract_x
_atom_site_fract_y
_atom_site_fract_z
_atom_site_occupancy
Ge1 Ge 0.500 0.500 0.500 1
Br1 Br 0.000 0.500 0.000 1
Br2 Br 0.000 0.000 0.500 1
Br3 Br 0.500 0.000 0.000 1
F1 F 0.000 0.000 0.000 1
```

- ΔE to the lowest computed polymorph (eV/atom) = 0.371
- energy relative to the elements, uncorrected (eV/atom) = 0.264



(4)
VASP calculation (GGA-PBE) on an optimized crystal structure of Hf3Zr2ScN6.

Geometry as CIF:
```
data_Hf3Zr2ScN6
_chemical_formula_sum 'Hf3 Zr2 Sc1 N6'
_space_group_name_H-M_alt 'P 1'
_space_group_IT_number 1
_space_group_name_Hall 'P 1'
_cell_length_a 3.215
_cell_length_b 6.480
_cell_length_c 7.208
_cell_angle_alpha 103.02
_cell_angle_beta 102.89
_cell_angle_gamma 90.00
loop_
_atom_site_label
_atom_site_type_symbol
_atom_site_fract_x
_atom_site_fract_y
_atom_site_fract_z
_atom_site_occupancy
Hf1 Hf 0.500 0.500 0.000 1
Hf2 Hf 0.834 0.166 0.668 1
Hf3 Hf 0.166 0.834 0.332 1
Zr1 Zr 0.833 0.665 0.665 1
Zr2 Zr 0.167 0.335 0.335 1
Sc1 Sc 0.500 0.000 0.000 1
N1 N 0.333 0.925 0.666 1
N2 N 0.663 0.591 0.325 1
N3 N 0.667 0.075 0.334 1
N4 N 0.998 0.252 0.996 1
N5 N 0.002 0.748 0.004 1
N6 N 0.337 0.409 0.675 1
```

- energy relative to the elements, uncorrected (eV/atom) = -1.798



(5)
VASP calculation (GGA-PBE) on an optimized crystal structure of Ac8OsPt2Rh.

Geometry as CIF:
```
data_Ac8OsPt2Rh
_chemical_formula_sum 'Ac8 Os1 Pt2 Rh1'
_space_group_name_H-M_alt 'P 1'
_space_group_IT_number 1
_space_group_name_Hall 'P 1'
_cell_length_a 7.212
_cell_length_b 7.087
_cell_length_c 8.905
_cell_angle_alpha 90.00
_cell_angle_beta 90.00
_cell_angle_gamma 90.48
loop_
_atom_site_label
_atom_site_type_symbol
_atom_site_fract_x
_atom_site_fract_y
_atom_site_fract_z
_atom_site_occupancy
Ac1 Ac 0.172 0.780 0.247 1
Ac2 Ac 0.676 0.738 0.000 1
Ac3 Ac 0.828 0.220 0.247 1
Ac4 Ac 0.828 0.220 0.753 1
Ac5 Ac 0.324 0.262 0.000 1
Ac6 Ac 0.172 0.780 0.753 1
Ac7 Ac 0.672 0.739 0.500 1
Ac8 Ac 0.328 0.261 0.500 1
Os1 Os 0.000 0.000 0.000 1
Pt1 Pt 0.500 0.500 0.749 1
Pt2 Pt 0.500 0.500 0.251 1
Rh1 Rh 0.000 0.000 0.500 1
```

- formation enthalpy at 0 K (eV/atom) = -0.553



(6)
VASP calculation (GGA-PBE) on an optimized crystal structure of Sc2UGa9.

Geometry as CIF:
```
data_Sc2UGa9
_chemical_formula_sum 'Sc2 U1 Ga9'
_space_group_name_H-M_alt 'P 1'
_space_group_IT_number 1
_space_group_name_Hall 'P 1'
_cell_length_a 4.155
_cell_length_b 4.155
_cell_length_c 12.559
_cell_angle_alpha 90.00
_cell_angle_beta 90.00
_cell_angle_gamma 90.00
loop_
_atom_site_label
_atom_site_type_symbol
_atom_site_fract_x
_atom_site_fract_y
_atom_site_fract_z
_atom_site_occupancy
Sc1 Sc 0.000 0.000 0.338 1
Sc2 Sc 0.000 0.000 0.662 1
U1 U 0.000 0.000 0.000 1
Ga1 Ga 0.500 0.500 0.000 1
Ga2 Ga 0.500 0.500 0.334 1
Ga3 Ga 0.500 0.500 0.666 1
Ga4 Ga 0.500 0.000 0.173 1
Ga5 Ga 0.500 0.000 0.500 1
Ga6 Ga 0.500 0.000 0.827 1
Ga7 Ga 0.000 0.500 0.173 1
Ga8 Ga 0.000 0.500 0.500 1
Ga9 Ga 0.000 0.500 0.827 1
```

- formation enthalpy at 0 K (eV/atom) = -0.418



(7)
VASP calculation (GGA-PBE) on an optimized crystal structure of SnPHS.

Geometry as CIF:
```
data_SnPHS
_chemical_formula_sum 'Sn1 P1 H1 S1'
_space_group_name_H-M_alt 'P 1'
_space_group_IT_number 1
_space_group_name_Hall 'P 1'
_cell_length_a 4.392
_cell_length_b 4.403
_cell_length_c 5.413
_cell_angle_alpha 80.55
_cell_angle_beta 66.17
_cell_angle_gamma 60.03
loop_
_atom_site_label
_atom_site_type_symbol
_atom_site_fract_x
_atom_site_fract_y
_atom_site_fract_z
_atom_site_occupancy
Sn1 Sn 0.547 0.891 0.695 1
P1 P 0.790 0.106 0.996 1
H1 H 0.901 0.769 0.112 1
S1 S 0.446 0.415 0.377 1
```

- ΔE to the lowest computed polymorph (eV/atom) = 0.033



(8)
VASP calculation (GGA-PBE) on an optimized crystal structure of CdGe2PtRh.

Geometry as CIF:
```
data_CdGe2PtRh
_chemical_formula_sum 'Cd1 Ge2 Pt1 Rh1'
_space_group_name_H-M_alt 'P 1'
_space_group_IT_number 1
_space_group_name_Hall 'P 1'
_cell_length_a 4.577
_cell_length_b 5.335
_cell_length_c 4.577
_cell_angle_alpha 90.00
_cell_angle_beta 90.00
_cell_angle_gamma 90.00
loop_
_atom_site_label
_atom_site_type_symbol
_atom_site_fract_x
_atom_site_fract_y
_atom_site_fract_z
_atom_site_occupancy
Ge1 Ge 0.000 0.000 0.500 1
Ge2 Ge 0.500 0.000 0.000 1
Rh1 Rh 0.000 0.000 0.000 1
Pt1 Pt 0.000 0.500 0.000 1
Cd1 Cd 0.500 0.500 0.500 1
```

- formation enthalpy at 0 K (eV/atom) = 0.329



(9)
VASP calculation (GGA-PBE) on an optimized crystal structure of PaClF3.

Geometry as CIF:
```
data_PaClF3
_chemical_formula_sum 'Pa1 Cl1 F3'
_space_group_name_H-M_alt 'P 1'
_space_group_IT_number 1
_space_group_name_Hall 'P 1'
_cell_length_a 4.495
_cell_length_b 4.495
_cell_length_c 4.495
_cell_angle_alpha 90.00
_cell_angle_beta 90.00
_cell_angle_gamma 90.00
loop_
_atom_site_label
_atom_site_type_symbol
_atom_site_fract_x
_atom_site_fract_y
_atom_site_fract_z
_atom_site_occupancy
F1 F 0.000 0.500 0.000 1
F2 F 0.000 0.000 0.500 1
F3 F 0.500 0.000 0.000 1
Pa1 Pa 0.000 0.000 0.000 1
Cl1 Cl 0.500 0.500 0.500 1
```

- ΔE to the lowest computed polymorph (eV/atom) = 0.112
- energy relative to the elements, uncorrected (eV/atom) = -3.131



(10)
VASP calculation (GGA-PBE) on an optimized crystal structure of CeTmSeS.

Geometry as CIF:
```
data_CeTmSeS
_chemical_formula_sum 'Ce1 Tm1 Se1 S1'
_space_group_name_H-M_alt 'P 1'
_space_group_IT_number 1
_space_group_name_Hall 'P 1'
_cell_length_a 3.897
_cell_length_b 3.897
_cell_length_c 7.516
_cell_angle_alpha 90.00
_cell_angle_beta 105.02
_cell_angle_gamma 120.00
loop_
_atom_site_label
_atom_site_type_symbol
_atom_site_fract_x
_atom_site_fract_y
_atom_site_fract_z
_atom_site_occupancy
Ce1 Ce 0.969 0.382 0.366 1
Tm1 Tm 0.302 0.549 0.867 1
Se1 Se 0.122 0.959 0.097 1
S1 S 0.484 0.140 0.640 1
```

- energy relative to the elements, uncorrected (eV/atom) = -1.774



(11)
VASP calculation (GGA-PBE) on an optimized crystal structure of RbMgTc3.

Geometry as CIF:
```
data_RbMgTc3
_chemical_formula_sum 'Rb1 Mg1 Tc3'
_space_group_name_H-M_alt 'P 1'
_space_group_IT_number 1
_space_group_name_Hall 'P 1'
_cell_length_a 4.947
_cell_length_b 4.947
_cell_length_c 4.947
_cell_angle_alpha 90.00
_cell_angle_beta 90.00
_cell_angle_gamma 90.00
loop_
_atom_site_label
_atom_site_type_symbol
_atom_site_fract_x
_atom_site_fract_y
_atom_site_fract_z
_atom_site_occupancy
Mg1 Mg 0.000 0.000 0.000 1
Tc1 Tc 0.000 0.500 0.000 1
Tc2 Tc 0.000 0.000 0.500 1
Tc3 Tc 0.500 0.000 0.000 1
Rb1 Rb 0.500 0.500 0.500 1
```

- formation enthalpy at 0 K (eV/atom) = 2.234
- ΔE to the lowest computed polymorph (eV/atom) = 0.000



(12)
VASP calculation (GGA-PBE) on an optimized crystal structure of Rb3Hg4.

Geometry as CIF:
```
data_Rb3Hg4
_chemical_formula_sum 'Rb6 Hg8'
_space_group_name_H-M_alt 'P 1'
_space_group_IT_number 1
_space_group_name_Hall 'P 1'
_cell_length_a 5.143
_cell_length_b 7.040
_cell_length_c 17.168
_cell_angle_alpha 90.00
_cell_angle_beta 90.00
_cell_angle_gamma 111.42
loop_
_atom_site_label
_atom_site_type_symbol
_atom_site_fract_x
_atom_site_fract_y
_atom_site_fract_z
_atom_site_occupancy
Rb1 Rb 0.710 0.421 0.100 1
Rb2 Rb 0.292 0.584 0.901 1
Rb3 Rb 0.710 0.421 0.401 1
Rb4 Rb 0.292 0.584 0.600 1
Rb5 Rb 0.000 0.000 0.250 1
Rb6 Rb 0.002 0.004 0.750 1
Hg1 Hg 0.293 0.586 0.250 1
Hg2 Hg 0.709 0.418 0.750 1
Hg3 Hg 0.422 0.845 0.094 1
Hg4 Hg 0.001 0.002 0.000 1
Hg5 Hg 0.422 0.844 0.407 1
Hg6 Hg 0.580 0.160 0.907 1
Hg7 Hg 0.001 0.002 0.500 1
Hg8 Hg 0.580 0.160 0.594 1
```

- formation enthalpy at 0 K (eV/atom) = -0.241
- ΔE to the lowest computed polymorph (eV/atom) = 0.006



no.,total magnetization (μB per formula unit),calculated total energy (eV/atom)
1,1.664,-7.57
2,7.054,-5.45
3,0.000,-2.04
4,0.000,-10.40
5,0.000,-5.85
6,2.152,-4.68
7,0.000,-4.28
8,0.000,-4.38
9,1.006,-6.52
10,1.357,-6.28
11,7.398,-4.50
12,0.000,-0.83